Record 1
The following is a DFT calculation (PBE) of a relaxed structure of Rb2NiWCl6.

E	-4.1696	eV per atom
E_form (uncorrected)	-0.995	eV per atom
Fermi-level density of states	16.7	states/eV per cell

CIF file:
```
data_Rb2NiWCl6
_chemical_formula_sum 'Rb4 Ni2 W2 Cl12'
_cell_length_a 7.745
_cell_length_b 7.745
_cell_length_c 9.094
_cell_angle_alpha 90.00
_cell_angle_beta 90.00
_cell_angle_gamma 90.00
_space_group_name_H-M_alt 'I 4/m m m'
_space_group_IT_number 139
_space_group_name_Hall '-I 4 2'
loop_
_atom_site_label
_atom_site_fract_x
_atom_site_fract_y
_atom_site_fract_z
Rb1 0.000 0.500 0.250
Ni1 0.000 0.000 0.000
W1 0.000 0.000 0.500
Cl1 0.000 0.000 0.234
Cl2 0.224 0.224 0.500
```

Record 2
The following is a DFT calculation (PBE) of a relaxed structure of Rb2ZnNiCl6.

E	-3.2835	eV per atom
E_form (uncorrected)	-1.276	eV per atom
relative energy among the computed polymorphs	0	meV/atom

CIF file:
```
data_Rb2ZnNiCl6
_chemical_formula_sum 'Rb12 Zn6 Ni6 Cl36'
_cell_length_a 7.0660
_cell_length_b 7.0660
_cell_length_c 35.1497
_cell_angle_alpha 90.00
_cell_angle_beta 90.00
_cell_angle_gamma 120.00
_space_group_name_H-M_alt 'R -3 m'
_space_group_IT_number 166
_space_group_name_Hall '-R 3 2"'
loop_
_atom_site_label
_atom_site_fract_x
_atom_site_fract_y
_atom_site_fract_z
Rb1 0.0000 0.0000 0.1235
Rb2 0.0000 0.0000 0.2932
Zn1 0.0000 0.0000 0.4128
Ni1 0.0000 0.0000 0.0000
Ni2 0.0000 0.0000 0.5000
Cl1 0.0068 0.5034 0.7071
Cl2 0.0222 0.5111 0.1250
```

Record 3
The following is a DFT calculation (PBE) of a relaxed structure of RbZnNiCl6.

E	-3.1249	eV per atom
E_form (uncorrected)	-1.002	eV per atom

CIF file:
```
data_RbZnNiCl6
_chemical_formula_sum 'Rb2 Zn2 Ni2 Cl12'
_cell_length_a 6.483
_cell_length_b 10.571
_cell_length_c 7.419
_cell_angle_alpha 90.00
_cell_angle_beta 92.73
_cell_angle_gamma 90.00
_space_group_name_H-M_alt 'C 1 2 1'
_space_group_IT_number 5
loop_
_space_group_symop_operation_xyz
'x,y,z'
'-x,y,-z'
'x+1/2,y+1/2,z'
'-x+1/2,y+1/2,-z'
loop_
_atom_site_label
_atom_site_fract_x
_atom_site_fract_y
_atom_site_fract_z
Rb1 0.000 0.000 0.000
Zn1 0.000 0.326 0.500
Ni1 0.000 0.671 0.500
Cl1 0.128 0.517 0.677
Cl2 0.170 0.816 0.674
Cl3 0.195 0.190 0.697
```

Record 4
The following is a DFT calculation (PBE) of a relaxed structure of Rb2ZnNiCl6.

E	-3.2176	eV per atom
E_form (uncorrected)	-1.211	eV per atom
Fermi-level density of states	0.0	states/eV per cell
relative energy among the computed polymorphs	66	meV/atom

CIF file:
```
data_Rb2ZnNiCl6
_chemical_formula_sum 'Rb4 Zn2 Ni2 Cl12'
_cell_length_a 7.237
_cell_length_b 7.237
_cell_length_c 9.094
_cell_angle_alpha 90.00
_cell_angle_beta 90.00
_cell_angle_gamma 90.00
_space_group_name_H-M_alt 'I 4/m m m'
_space_group_IT_number 139
_space_group_name_Hall '-I 4 2'
loop_
_atom_site_label
_atom_site_fract_x
_atom_site_fract_y
_atom_site_fract_z
Rb1 0.000 0.500 0.250
Zn1 0.000 0.000 0.000
Ni1 0.000 0.000 0.500
Cl1 0.000 0.000 0.246
Cl2 0.240 0.240 0.500
```

Record 5
The following is a DFT calculation (PBE) of a relaxed structure of Rb2ZrNiCl6.

E	-4.2059	eV per atom
E_form (uncorrected)	-1.471	eV per atom
Fermi-level density of states	7.0	states/eV per cell

CIF file:
```
data_Rb2ZrNiCl6
_chemical_formula_sum 'Rb4 Zr2 Ni2 Cl12'
_cell_length_a 7.965
_cell_length_b 7.965
_cell_length_c 9.139
_cell_angle_alpha 90.00
_cell_angle_beta 90.00
_cell_angle_gamma 90.00
_space_group_name_H-M_alt 'I 4/m m m'
_space_group_IT_number 139
_space_group_name_Hall '-I 4 2'
loop_
_atom_site_label
_atom_site_fract_x
_atom_site_fract_y
_atom_site_fract_z
Rb1 0.000 0.500 0.250
Zr1 0.000 0.000 0.000
Ni1 0.000 0.000 0.500
Cl1 0.000 0.000 0.271
Cl2 0.225 0.225 0.000
```

Record 6
The following is a DFT calculation (PBE) of a relaxed structure of ReNi2Cl.

E	-5.3494	eV per atom
E_form (uncorrected)	1.115	eV per atom
Fermi-level density of states	19.9	states/eV per cell
relative energy among the computed polymorphs	935	meV/atom

CIF file:
```
data_ReNi2Cl
_chemical_formula_sum 'Re4 Ni8 Cl4'
_cell_length_a 6.051
_cell_length_b 6.051
_cell_length_c 6.051
_cell_angle_alpha 90.00
_cell_angle_beta 90.00
_cell_angle_gamma 90.00
_space_group_name_H-M_alt 'F m -3 m'
_space_group_IT_number 225
_space_group_name_Hall '-F 4 2 3'
loop_
_atom_site_label
_atom_site_fract_x
_atom_site_fract_y
_atom_site_fract_z
Re1 0.000 0.000 0.000
Ni1 0.250 0.250 0.250
Cl1 0.000 0.000 0.500
```

Record 7
The following is a DFT calculation (PBE) of a relaxed structure of Re2NiCl.

E	-7.4840	eV per atom
E_form (uncorrected)	0.647	eV per atom
Fermi-level density of states	14.8	states/eV per cell
relative energy among the computed polymorphs	347	meV/atom

CIF file:
```
data_Re2NiCl
_chemical_formula_sum 'Re6 Ni3 Cl3'
_cell_length_a 2.8080
_cell_length_b 2.8080
_cell_length_c 24.9057
_cell_angle_alpha 90.00
_cell_angle_beta 90.00
_cell_angle_gamma 120.00
_space_group_name_H-M_alt 'R -3 m'
_space_group_IT_number 166
_space_group_name_Hall '-R 3 2"'
loop_
_atom_site_label
_atom_site_fract_x
_atom_site_fract_y
_atom_site_fract_z
Re1 0.0000 0.0000 0.2477
Ni1 0.0000 0.0000 0.5000
Cl1 0.0000 0.0000 0.0000
```

Record 8
The following is a DFT calculation (PBE) of a relaxed structure of Re2NiCl.

E	-7.5810	eV per atom
E_form (uncorrected)	0.550	eV per atom
Fermi-level density of states	2.4	states/eV per cell
relative energy among the computed polymorphs	250	meV/atom

CIF file:
```
data_Re2NiCl
_chemical_formula_sum 'Re2 Ni1 Cl1'
_cell_length_a 2.924
_cell_length_b 3.247
_cell_length_c 6.624
_cell_angle_alpha 90.00
_cell_angle_beta 90.00
_cell_angle_gamma 90.00
_space_group_name_H-M_alt 'P m m m'
_space_group_IT_number 47
loop_
_space_group_symop_operation_xyz
'x,y,z'
'-x,-y,-z'
'-x,-y,z'
'x,y,-z'
'x,-y,-z'
'-x,y,z'
'-x,y,-z'
'x,-y,z'
loop_
_atom_site_label
_atom_site_fract_x
_atom_site_fract_y
_atom_site_fract_z
Re1 0.000 0.000 0.185
Ni1 0.500 0.500 0.000
Cl1 0.000 0.500 0.500
```